{"formula": "CsZrI3", "functional": "PBE", "state": "optimized geometry", "cell": [[4.7868, 2.7636, 6.0001], [-4.7868, 2.7636, 6.0001], [0.0000, -5.5273, 6.0001]], "species": ["Cs", "Zr", "I", "I", "I"], "frac_coords": [[0.0000, 0.0000, 0.0000], [0.7818, 0.7818, 0.7818], [0.4873, 0.9807, 0.9807], [0.9807, 0.4873, 0.9807], [0.9807, 0.9807, 0.4873]], "crystal_system": "trigonal", "relative_energy_ev_per_fu": 2.09, "total_magnetization_mub_per_atom": 0.400, "e_form_raw_ev_per_atom": -0.62}